(1)
Computed, not measured: an optimized crystal structure of Ca2PmZn2In2 at the PBE-GGA level of DFT.

Summary:
Formation enthalpy at 0 K: -0.34 eV per atom
M_tot: 0.00 μB/cell

The structure in CIF format:
```
data_Ca2PmZn2In2
_chemical_formula_sum 'Ca6 Pm3 Zn6 In6'
_cell_length_a 4.7576
_cell_length_b 4.7576
_cell_length_c 29.1288
_cell_angle_alpha 90.00
_cell_angle_beta 90.00
_cell_angle_gamma 120.00
_space_group_name_H-M_alt 'R -3 m'
_space_group_IT_number 166
_space_group_name_Hall '-R 3 2"'
loop_
_atom_site_label
_atom_site_type_symbol
_atom_site_fract_x
_atom_site_fract_y
_atom_site_fract_z
Ca1 Ca 0.0000 0.0000 0.1251
Pm1 Pm 0.0000 0.0000 0.0000
Zn1 Zn 0.0000 0.0000 0.3904
In1 In 0.0000 0.0000 0.2650
```

---

(2)
Computed, not measured: an optimized crystal structure of CaPrIn at the PBE-GGA level of DFT.

Summary:
Formation enthalpy at 0 K: -0.30 eV per atom
Energy above the most stable polymorph in this dataset: 0.135 eV per atom
M_tot: 0.00 μB/cell

The structure in CIF format:
```
data_CaPrIn
_chemical_formula_sum 'Ca2 Pr2 In2'
_cell_length_a 3.741
_cell_length_b 3.741
_cell_length_c 14.134
_cell_angle_alpha 90.00
_cell_angle_beta 90.00
_cell_angle_gamma 90.00
_space_group_name_H-M_alt 'I 4 m m'
_space_group_IT_number 107
_space_group_name_Hall 'I 4 -2'
loop_
_atom_site_label
_atom_site_type_symbol
_atom_site_fract_x
_atom_site_fract_y
_atom_site_fract_z
Ca1 Ca 0.000 0.000 0.000
Pr1 Pr 0.000 0.000 0.288
In1 In 0.000 0.000 0.645
```

---

(3)
Computed, not measured: an optimized crystal structure of Ca2PrIn at the PBE-GGA level of DFT.

Summary:
Formation enthalpy at 0 K: -0.19 eV per atom
Energy above the most stable polymorph in this dataset: 0.053 eV per atom
M_tot: 0.00 μB/cell

The structure in CIF format:
```
data_Ca2PrIn
_chemical_formula_sum 'Ca2 Pr1 In1'
_cell_length_a 3.621
_cell_length_b 3.621
_cell_length_c 10.181
_cell_angle_alpha 90.00
_cell_angle_beta 90.00
_cell_angle_gamma 90.00
_space_group_name_H-M_alt 'P 4/m m m'
_space_group_IT_number 123
_space_group_name_Hall '-P 4 2'
loop_
_atom_site_label
_atom_site_type_symbol
_atom_site_fract_x
_atom_site_fract_y
_atom_site_fract_z
Ca1 Ca 0.000 0.000 0.211
Pr1 Pr 0.500 0.500 0.500
In1 In 0.500 0.500 0.000
```

---

(4)
Computed, not measured: an optimized crystal structure of Ca3Pr4In4 at the PBE-GGA level of DFT.

Summary:
Formation enthalpy at 0 K: -0.24 eV per atom
M_tot: 0.00 μB/cell

The structure in CIF format:
```
data_Ca3Pr4In4
_chemical_formula_sum 'Ca6 Pr8 In8'
_cell_length_a 5.550
_cell_length_b 7.305
_cell_length_c 18.085
_cell_angle_alpha 90.00
_cell_angle_beta 90.00
_cell_angle_gamma 90.00
_space_group_name_H-M_alt 'I m m m'
_space_group_IT_number 71
_space_group_name_Hall '-I 2 2'
loop_
_atom_site_label
_atom_site_type_symbol
_atom_site_fract_x
_atom_site_fract_y
_atom_site_fract_z
Ca1 Ca 0.000 0.000 0.000
Ca2 Ca 0.000 0.500 0.101
Pr1 Pr 0.000 0.265 0.322
In1 In 0.000 0.000 0.178
In2 In 0.000 0.205 0.500
```

---

(5)
Computed, not measured: an optimized crystal structure of CaPr5In4 at the PBE-GGA level of DFT.

Summary:
Formation enthalpy at 0 K: -0.37 eV per atom
Energy above the most stable polymorph in this dataset: 0.000 eV per atom
M_tot: 0.00 μB/cell

The structure in CIF format:
```
data_CaPr5In4
_chemical_formula_sum 'Ca1 Pr5 In4'
_cell_length_a 3.719
_cell_length_b 3.719
_cell_length_c 22.889
_cell_angle_alpha 90.00
_cell_angle_beta 90.00
_cell_angle_gamma 90.00
_space_group_name_H-M_alt 'P 4/m m m'
_space_group_IT_number 123
_space_group_name_Hall '-P 4 2'
loop_
_atom_site_label
_atom_site_type_symbol
_atom_site_fract_x
_atom_site_fract_y
_atom_site_fract_z
Ca1 Ca 0.000 0.000 0.000
Pr1 Pr 0.500 0.500 0.127
Pr2 Pr 0.500 0.500 0.313
Pr3 Pr 0.500 0.500 0.500
In1 In 0.000 0.000 0.217
In2 In 0.000 0.000 0.406
```

---

(6)
Computed, not measured: an optimized crystal structure of CaPrIn4 at the PBE-GGA level of DFT.

Summary:
Formation enthalpy at 0 K: -0.37 eV per atom
Energy above the most stable polymorph in this dataset: 0.051 eV per atom
M_tot: 0.00 μB/cell

The structure in CIF format:
```
data_CaPrIn4
_chemical_formula_sum 'Ca4 Pr4 In16'
_cell_length_a 8.667
_cell_length_b 8.667
_cell_length_c 8.667
_cell_angle_alpha 90.00
_cell_angle_beta 90.00
_cell_angle_gamma 90.00
_space_group_name_H-M_alt 'F -4 3 m'
_space_group_IT_number 216
_space_group_name_Hall 'F -4 2 3'
loop_
_atom_site_label
_atom_site_type_symbol
_atom_site_fract_x
_atom_site_fract_y
_atom_site_fract_z
Ca1 Ca 0.000 0.000 0.000
Pr1 Pr 0.250 0.250 0.750
In1 In 0.125 0.125 0.375
```

---

(7)
Computed, not measured: an optimized crystal structure of CaPrIn at the PBE-GGA level of DFT.

Summary:
Formation enthalpy at 0 K: -0.43 eV per atom
Energy above the most stable polymorph in this dataset: 0.000 eV per atom
M_tot: 0.00 μB/cell

The structure in CIF format:
```
data_CaPrIn
_chemical_formula_sum 'Ca2 Pr2 In2'
_cell_length_a 5.5610
_cell_length_b 5.5610
_cell_length_c 7.0062
_cell_angle_alpha 90.00
_cell_angle_beta 90.00
_cell_angle_gamma 120.00
_space_group_name_H-M_alt 'P 63/m m c'
_space_group_IT_number 194
_space_group_name_Hall '-P 6c 2c'
loop_
_atom_site_label
_atom_site_type_symbol
_atom_site_fract_x
_atom_site_fract_y
_atom_site_fract_z
Ca1 Ca 0.0000 0.0000 0.0000
Pr1 Pr 0.3333 0.6667 0.2500
In1 In 0.3333 0.6667 0.7500
```

---

(8)
Computed, not measured: an optimized crystal structure of CaPr4In15 at the PBE-GGA level of DFT.

Summary:
Formation enthalpy at 0 K: -0.44 eV per atom
M_tot: 0.00 μB/cell

The structure in CIF format:
```
data_CaPr4In15
_chemical_formula_sum 'Ca1 Pr4 In15'
_cell_length_a 4.749
_cell_length_b 4.749
_cell_length_c 23.554
_cell_angle_alpha 90.00
_cell_angle_beta 90.00
_cell_angle_gamma 90.00
_space_group_name_H-M_alt 'P 4/m m m'
_space_group_IT_number 123
_space_group_name_Hall '-P 4 2'
loop_
_atom_site_label
_atom_site_type_symbol
_atom_site_fract_x
_atom_site_fract_y
_atom_site_fract_z
Ca1 Ca 0.000 0.000 0.000
Pr1 Pr 0.000 0.000 0.199
Pr2 Pr 0.000 0.000 0.399
In1 In 0.000 0.500 0.098
In2 In 0.000 0.500 0.299
In3 In 0.000 0.500 0.500
In4 In 0.500 0.500 0.000
In5 In 0.500 0.500 0.200
In6 In 0.500 0.500 0.400
```